Computed, not measured: a relaxed structure of DyEr2Lu at the PBE-GGA level of DFT.

## Properties
The formation energy is 0.11 eV per formula unit.

Unit cell a=3.4938 b=3.4938 c=9.9007 alpha=90.00 beta=90.00 gamma=90.00
Space group P4/mmm (No. 123)
One atom of each set of equivalent atoms:
Dy (0.0000, 0.0000, 0.0000) [1 per cell]
Er (0.5000, 0.5000, 0.2525) [2 per cell]
Lu (0.0000, 0.0000, 0.5000) [1 per cell]

***

Computed, not measured: a relaxed structure of Sr2TePt at the PBE-GGA level of DFT.

## Properties
The value obtained for the formation energy without anion corrections is -1.15 eV/atom.

Unit cell a=4.5620 b=4.5620 c=22.3104 alpha=90.00 beta=90.00 gamma=120.00
Space group R-3m (No. 166, hexagonal axes)
One atom of each set of equivalent atoms:
Sr (0.0000, 0.0000, 0.2438) [6 per cell]
Te (0.0000, 0.0000, 0.0000) [3 per cell]
Pt (0.0000, 0.0000, 0.5000) [3 per cell]

***

Computed, not measured: a relaxed structure of ZrTe2 at the PBE-GGA level of DFT.

## Properties
The value obtained for the formation energy without anion corrections is -0.72 eV/atom.

Unit cell a=8.1172 b=4.0008 c=9.6170 alpha=90.00 beta=90.00 gamma=90.00
Space group Pnma (No. 62)
One atom of each set of equivalent atoms:
Zr (0.2423, 0.2500, 0.1182) [4 per cell]
Te (0.0339, 0.7500, 0.3502) [4 per cell]
Te (0.1303, 0.7500, 0.9112) [4 per cell]

***

Computed, not measured: a relaxed structure of Li2NdP2Pd2 at the PBE-GGA level of DFT.

## Properties
The formation energy is -6.70 eV per formula unit.

Unit cell a=4.1579 b=4.1579 c=23.2093 alpha=90.00 beta=90.00 gamma=120.00
Space group R-3m (No. 166, hexagonal axes)
One atom of each set of equivalent atoms:
Li (0.0000, 0.0000, 0.1421) [6 per cell]
Nd (0.0000, 0.0000, 0.0000) [3 per cell]
P (0.0000, 0.0000, 0.2514) [6 per cell]
Pd (0.0000, 0.0000, 0.4271) [6 per cell]

***

Computed, not measured: a relaxed structure of Hf3CrSi at the PBE-GGA level of DFT.

## Properties
The value obtained for the formation energy without anion corrections is 0.65 eV/atom.

Unit cell a=4.7380 b=4.7380 c=4.7380 alpha=90.00 beta=90.00 gamma=90.00
Space group Pm-3m (No. 221)
One atom of each set of equivalent atoms:
Hf (0.0000, 0.0000, 0.5000) [3 per cell]
Cr (0.0000, 0.0000, 0.0000) [1 per cell]
Si (0.5000, 0.5000, 0.5000) [1 per cell]

***

Computed, not measured: a relaxed structure of CsKHgAu at the PBE-GGA level of DFT.

## Properties
The formation energy is -1.16 eV per formula unit.

Unit cell a=4.9630 b=5.0872 c=13.3289 alpha=90.00 beta=90.00 gamma=90.00
Space group Amm2 (No. 38)
One atom of each set of equivalent atoms:
Cs (0.0000, 0.0000, 0.0000) [2 per cell]
K (0.5000, 0.0000, 0.7232) [2 per cell]
Hg (0.0000, 0.0000, 0.2864) [2 per cell]
Au (0.5000, 0.0000, 0.4083) [2 per cell]